# 1
VASP calculation (PBE) on an optimized crystal structure of ErRu6.

Output
Symmetry: No. 229

```
7
Lattice="-4.0304 -1.0068 -4.0291 1.0293 -4.8669 2.9572 -1.8794 4.0998 3.6264" Properties=species:S:1:pos:R:3 pbc="T T T"
Ru -1.1753 -1.8520 3.0238
Ru -1.9025 0.3897 3.1911
Ru -2.9780 -2.1636 -0.6366
Er 0.0000 0.0000 0.0000
Ru -3.7052 0.0781 -0.4693
Ru -3.1674 1.3547 1.4446
Ru -1.7131 -3.1286 1.1100
```

=====

# 2
VASP calculation (PBE) on an optimized crystal structure of YGeC3.

Output
Symmetry: No. 221

```
5
Lattice="4.5105 0.0000 0.0000 0.0000 4.5105 0.0000 0.0000 0.0000 4.5105" Properties=species:S:1:pos:R:3 pbc="T T T"
Ge 2.2553 2.2553 2.2553
C 2.2553 0.0000 0.0000
Y 0.0000 0.0000 0.0000
C 0.0000 0.0000 2.2553
C 0.0000 2.2553 0.0000
```

=====

# 3
VASP calculation (PBE) on an optimized crystal structure of SrOs2Br.

Output
Formation energy (no corrections) in meV per atom: 1485.7
Symmetry: No. 65

```
4
Lattice="-2.2229 -1.9643 -0.4764 2.7910 -1.0122 0.4610 -1.7079 -0.3753 9.5156" Properties=species:S:1:pos:R:3 pbc="T T T"
Sr -0.1429 -1.5821 2.3712
Os -1.6773 -0.3686 9.3453
Br -0.9968 -1.7697 7.1290
Os -0.8845 -0.1944 4.9280
```

=====

# 4
VASP calculation (PBE) on an optimized crystal structure of Ti3CI3.

Output
Formation energy (no corrections) in meV per atom: -542.2
Symmetry: No. 148

```
14
Lattice="5.8283 0.0000 1.8730 2.6132 5.2096 1.8730 -0.3348 -0.2066 11.0464" Properties=species:S:1:pos:R:3 pbc="T T T"
I 3.8609 1.1478 4.7098
I 3.6151 4.6471 5.3248
Ti 1.6441 3.2981 11.2391
C 5.6276 3.4731 2.4974
Ti 3.4671 3.1095 2.8692
C 2.4790 1.5299 12.2950
I 4.4915 0.3559 9.4676
Ti 2.1138 -0.0091 10.7341
I 1.4347 2.0665 8.8245
Ti 4.6395 1.8935 11.9232
Ti 5.9928 5.0121 4.0583
I 4.2457 3.8552 10.0826
I 6.6719 2.9365 5.9679
Ti 6.4625 1.7049 3.5533
```

=====

# 5
VASP calculation (PBE) on an optimized crystal structure of GaTcS2Cl.

Output
Formation energy (no corrections) in meV per atom: -107.3
Symmetry: No. 123

```
5
Lattice="-0.6622 4.3869 -1.1373 -3.4040 0.2773 3.0517 3.4055 1.4644 3.6655" Properties=species:S:1:pos:R:3 pbc="T T T"
S -1.7020 0.1387 1.5259
Cl 1.7027 0.7322 1.8327
Ga -0.3304 3.0643 2.7899
Tc 0.0000 0.0000 0.0000
S -0.3311 2.1934 -0.5687
```

=====

# 6
VASP calculation (PBE) on an optimized crystal structure of GeRhSe3.

Output
Formation energy (no corrections) in meV per atom: 379.3
Symmetry: No. 221

```
5
Lattice="4.8913 0.0000 0.0000 0.0000 4.8913 0.0000 0.0000 0.0000 4.8913" Properties=species:S:1:pos:R:3 pbc="T T T"
Rh 0.0000 0.0000 0.0000
Se 0.0000 2.4457 0.0000
Ge 2.4457 2.4457 2.4457
Se 0.0000 0.0000 2.4457
Se 2.4457 0.0000 0.0000
```

=====

# 7
VASP calculation (PBE) on an optimized crystal structure of CaTbAg.

Output
Symmetry: No. 166

```
6
Lattice="5.0163 0.0000 0.0000 2.5081 4.3442 0.0000 2.5081 1.4481 8.7384" Properties=species:S:1:pos:R:3 pbc="T T T"
Tb 5.0163 2.8961 1.0223
Ca 2.5081 1.4481 5.4653
Ag 7.5244 4.3442 6.7178
Ag 2.5081 1.4481 2.0206
Tb 5.0163 2.8961 7.7161
Ca 7.5244 4.3442 3.2731
```

=====

# 8
VASP calculation (PBE) on an optimized crystal structure of SmGdSn.

Output
Symmetry: No. 107

```
3
Lattice="-2.5019 -2.7079 1.8654 3.0764 -1.1001 2.5293 -1.7079 5.4777 1.0849" Properties=species:S:1:pos:R:3 pbc="T T T"
Gd -0.9557 1.2228 5.0691
Sm -0.0774 -0.9866 3.0399
Sn -0.8075 2.0312 1.8656
```

=====

# 9
VASP calculation (PBE) on an optimized crystal structure of MgCl2F8.

Output
Formation energy (no corrections) in meV per atom: -1106.1
Symmetry: No. 12

```
11
Lattice="6.0003 0.3377 0.2888 1.1977 5.4451 -0.1135 1.1977 0.7319 5.3968" Properties=species:S:1:pos:R:3 pbc="T T T"
Cl 5.5295 5.1816 4.4319
F 2.6504 4.6882 0.8796
F 3.9754 2.2489 1.9235
F 5.7454 1.8265 4.6925
F 2.6504 1.5957 4.4952
Mg 0.0000 0.0000 0.0000
F 1.5394 2.0719 1.7722
F 6.8564 4.4427 3.7999
Cl 2.8663 1.3331 1.1402
F 4.4204 4.2658 3.6486
F 5.7454 4.9189 1.0770
```

=====

# 10
VASP calculation (PBE) on an optimized crystal structure of Ag2PdPbF8.

Output
Formation energy (no corrections) in meV per atom: -1325.4
Symmetry: No. 164

```
12
Lattice="5.4291 0.0000 0.0000 -2.7145 4.7017 0.0000 0.0000 0.0000 7.0785" Properties=species:S:1:pos:R:3 pbc="T T T"
Pb 0.0000 0.0000 3.5392
Ag 0.0000 3.1345 5.9482
F 0.0000 3.1345 3.7598
Pd 0.0000 0.0000 0.0000
Ag 2.7145 1.5672 1.1303
F 2.7145 3.1632 5.8581
F 1.3821 3.9325 1.2204
F 0.0000 1.5385 1.2204
F 4.0967 0.7693 5.8581
F 1.3324 0.7693 5.8581
F -1.3821 3.9325 1.2204
F 2.7145 1.5672 3.3187
```

=====

# 11
VASP calculation (PBE) on an optimized crystal structure of RbBa2NbS.

Output
Formation energy (no corrections) in meV per atom: -88.0
Symmetry: No. 123

```
5
Lattice="6.4737 0.0000 0.0000 0.0000 4.8442 0.0000 0.0000 0.0000 6.4737" Properties=species:S:1:pos:R:3 pbc="T T T"
Ba 0.0000 0.0000 3.2369
Ba 3.2369 0.0000 0.0000
Nb 0.0000 2.4221 0.0000
Rb 3.2369 2.4221 3.2369
S 0.0000 0.0000 0.0000
```

=====

# 12
VASP calculation (PBE) on an optimized crystal structure of LiHfAl.

Output
Symmetry: No. 62

```
12
Lattice="-2.5757 1.7197 -4.6915 -3.4963 -2.4819 1.0098 -3.2391 6.2133 4.0559" Properties=species:S:1:pos:R:3 pbc="T T T"
Al -5.7595 5.6079 -1.3547
Li -4.2738 3.2832 -1.9241
Hf -3.1733 1.2032 -3.2262
Li -7.3188 4.9334 1.1966
Al -3.5517 -0.1568 1.7289
Al -4.7253 0.4840 -0.7599
Li -1.9924 0.5177 -0.8224
Al -4.5859 4.9672 1.1341
Hf -6.1379 4.2479 3.6004
Li -5.0374 2.1679 2.2984
Hf -3.0435 2.5648 0.5697
Hf -6.2677 2.8864 -0.1955
```

=====

# 13
VASP calculation (PBE) on an optimized crystal structure of BiPCl3.

Output
Formation energy (no corrections) in meV per atom: 157.3
Symmetry: No. 221

```
5
Lattice="4.9453 0.0000 0.0000 0.0000 4.9453 0.0000 0.0000 0.0000 4.9453" Properties=species:S:1:pos:R:3 pbc="T T T"
P 0.0000 0.0000 0.0000
Cl 0.0000 2.4727 0.0000
Cl 0.0000 0.0000 2.4727
Bi 2.4727 2.4727 2.4727
Cl 2.4727 0.0000 0.0000
```

=====

# 14
VASP calculation (PBE) on an optimized crystal structure of KGeH.

Output
Symmetry: No. 8

```
6
Lattice="3.6117 0.0000 0.0000 1.8059 5.7950 -2.3864 1.8059 0.6215 6.2434" Properties=species:S:1:pos:R:3 pbc="T T T"
K 3.6117 2.0818 0.1065
H 5.4176 3.2921 2.6041
Ge 3.6117 3.1206 3.2825
H 5.4176 5.7319 4.0796
Ge 1.8059 4.5894 -1.6985
K 3.6117 5.8888 1.0378
```

=====

# 15
VASP calculation (PBE) on an optimized crystal structure of Tl2Hg4Pb3.

Output
Symmetry: No. 12

```
9
Lattice="5.2257 -0.0006 1.4371 -0.6027 6.2480 2.2146 0.5330 0.3745 8.3025" Properties=species:S:1:pos:R:3 pbc="T T T"
Hg 3.2478 6.4594 8.6624
Hg 4.5673 2.1436 3.8471
Pb 0.0000 0.0000 0.0000
Tl 3.9063 4.3536 6.2565
Tl 1.2497 2.2683 5.6977
Hg 1.9082 0.1625 3.2918
Hg 0.5887 4.4783 8.1071
Pb 1.9827 4.2388 3.0260
Pb 3.1733 2.3831 8.9282
```

=====

| no. | DOS at the Fermi energy (states/eV per atom) | raw total energy (eV/atom) |
| --- | --- | --- |
| 1 | 1.146 | -7.86 |
| 2 | 0.692 | -5.05 |
| 3 | 1.181 | -4.97 |
| 4 | 0.645 | -5.91 |
| 5 | 0.274 | -4.81 |
| 6 | 1.379 | -4.11 |
| 7 | 1.415 | -3.19 |
| 8 | 1.002 | -8.10 |
| 9 | 0.000 | -2.95 |
| 10 | 0.444 | -3.79 |
| 11 | 0.972 | -3.89 |
| 12 | 0.382 | -5.26 |
| 13 | 1.027 | -2.81 |
| 14 | 0.196 | -2.96 |
| 15 | 0.442 | -1.87 |